VASP calculation (GGA-PBE) on a relaxed UTlBi2 crystal.

Geometry as CIF:
```
data_UTlBi2
_chemical_formula_sum 'U3 Tl3 Bi6'
_symmetry_space_group_name_H-M 'R 3 m'
_symmetry_Int_Tables_number 160
_symmetry_space_group_name_Hall 'R 3 -2"'
_cell_length_a 4.7800
_cell_length_b 4.7800
_cell_length_c 21.7133
_cell_angle_alpha 90.00
_cell_angle_beta 90.00
_cell_angle_gamma 120.00
loop_
_atom_site_label
_atom_site_fract_x
_atom_site_fract_y
_atom_site_fract_z
U1 0.0000 0.0000 0.0000
Tl1 0.0000 0.0000 0.8303
Bi1 0.0000 0.0000 0.4064
Bi2 0.0000 0.0000 0.5983
```

Results
Energy of formation in eV/atom: 0.235
Offset from the most stable computed form in meV per atom: 197